Entry 1:
The following is a PBE-GGA calculation of a geometry-optimized Mg2Cd structure, from OQMD via LeMat-Bulk.

Cell: 8.2451 5.1060 12.4855 Å, 90.00 100.80 90.00°
Atoms (fractional coordinates):
Mg 0.0440 0.2500 0.3170
Mg 0.0515 0.2500 0.0698
Mg 0.0600 0.2500 0.5695
Mg 0.0646 0.2500 0.8209
Mg 0.2703 0.7500 0.3454
Mg 0.2754 0.7500 0.0987
Mg 0.3886 0.2500 0.4844
Mg 0.3901 0.2500 0.9881
Mg 0.6099 0.7500 0.0119
Mg 0.6114 0.7500 0.5156
Mg 0.7246 0.2500 0.9013
Mg 0.7297 0.2500 0.6546
Mg 0.9354 0.7500 0.1791
Mg 0.9400 0.7500 0.4305
Mg 0.9485 0.7500 0.9302
Mg 0.9560 0.7500 0.6830
Cd 0.2772 0.7500 0.5895
Cd 0.2793 0.7500 0.8542
Cd 0.3744 0.2500 0.2349
Cd 0.3948 0.2500 0.7358
Cd 0.6052 0.7500 0.2642
Cd 0.6256 0.7500 0.7651
Cd 0.7207 0.2500 0.1458
Cd 0.7228 0.2500 0.4105

Crystal system: monoclinic
Raw total energy (eV per atom): -1.38
Space-group type: P2_1/m, No. 11

***

Entry 2:
The following is a PBE-GGA calculation of a geometry-optimized MgCd structure, from OQMD via LeMat-Bulk.

Cell: 5.0795 9.2371 5.3928 Å, 90.00 90.00 90.00°
Atoms (fractional coordinates):
Mg 0.0000 0.0837 0.0000
Mg 0.0000 0.4155 0.0120
Mg 0.0000 0.5845 0.5120
Mg 0.0000 0.9163 0.5000
Mg 0.5000 0.0903 0.3464
Mg 0.5000 0.9097 0.8464
Cd 0.0000 0.2469 0.5053
Cd 0.0000 0.7531 0.0053
Cd 0.5000 0.2411 0.8492
Cd 0.5000 0.4188 0.3479
Cd 0.5000 0.5812 0.8479
Cd 0.5000 0.7589 0.3492

Crystal system: orthorhombic
Raw total energy (eV per atom): -1.30
Space-group type: Pmc2_1, No. 26

***

Entry 3:
The following is a PBE-GGA calculation of a geometry-optimized MgCd structure, from OQMD via LeMat-Bulk.

Cell: 4.9904 3.2910 5.2065 Å, 90.00 90.00 90.00°
Atoms (fractional coordinates):
Mg 0.2500 0.0000 0.1886
Mg 0.7500 0.0000 0.8114
Cd 0.2500 0.5000 0.6874
Cd 0.7500 0.5000 0.3126

Crystal system: orthorhombic
Raw total energy (eV per atom): -1.33
Space-group type: Pmma, No. 51

***

Entry 4:
The following is a PBE-GGA calculation of a geometry-optimized Mg2Cd structure, from OQMD via LeMat-Bulk.

Cell: 5.7757 5.7757 5.7757 Å, 60.00 60.00 60.00°
Atoms (fractional coordinates):
Mg 0.0000 0.0000 0.0000
Mg 0.0000 0.0000 0.5000
Mg 0.0000 0.5000 0.0000
Mg 0.5000 0.0000 0.0000
Cd 0.3750 0.3750 0.3750
Cd 0.6250 0.6250 0.6250

Crystal system: cubic
Raw total energy (eV per atom): -1.26
Space-group type: Fd-3m, No. 227

***

Entry 5:
The following is a PBE-GGA calculation of a geometry-optimized Mg2Cd structure, from OQMD via LeMat-Bulk.

Cell: 9.2637 5.3601 5.1148 Å, 90.00 90.00 90.00°
Atoms (fractional coordinates):
Mg 0.1647 0.1757 0.2500
Mg 0.1647 0.8243 0.7500
Mg 0.3353 0.3243 0.7500
Mg 0.3353 0.6757 0.2500
Mg 0.6647 0.3243 0.7500
Mg 0.6647 0.6757 0.2500
Mg 0.8353 0.1757 0.2500
Mg 0.8353 0.8243 0.7500
Cd 0.0000 0.3223 0.7500
Cd 0.0000 0.6777 0.2500
Cd 0.5000 0.1777 0.2500
Cd 0.5000 0.8223 0.7500

Crystal system: orthorhombic
Raw total energy (eV per atom): -1.41
Space-group type: Cmcm, No. 63

***

Entry 6:
The following is a PBE-GGA calculation of a geometry-optimized MgCd structure, from OQMD via LeMat-Bulk.

Cell: 6.2764 5.0736 8.1664 Å, 90.00 101.04 90.00°
Atoms (fractional coordinates):
Mg 0.0268 0.2500 0.1133
Mg 0.3079 0.7500 0.2293
Mg 0.4701 0.7500 0.8879
Mg 0.5299 0.2500 0.1121
Mg 0.6921 0.2500 0.7707
Mg 0.9732 0.7500 0.8867
Cd 0.1405 0.7500 0.5592
Cd 0.1981 0.2500 0.7911
Cd 0.3602 0.2500 0.4360
Cd 0.6398 0.7500 0.5640
Cd 0.8019 0.7500 0.2089
Cd 0.8595 0.2500 0.4408

Crystal system: monoclinic
Raw total energy (eV per atom): -1.29
Space-group type: P2_1/m, No. 11